Entry 1:
The following is a DFT calculation (PBE) of a relaxed structure of ZnAgPbF6.

Energy relative to the elements, uncorrected, eV/f.u.: -17.005

Unit cell a=5.8313 b=5.8313 c=9.6005 alpha=90.00 beta=90.00 gamma=120.00
With the nearest neighbours (Å) after each atom.
Space group P-31c (No. 163)
Inequivalent atoms, fractional coordinates:
Zn 0.3333 0.6667 0.2500  6 F 2.08
Ag 0.0000 0.0000 0.0000  6 F 2.41
Pb 0.3333 0.6667 0.7500  6 F 2.33
F 0.0321 0.3655 0.1331  1 Zn 2.08, 1 Pb 2.33



Entry 2:
The following is a DFT calculation (PBE) of a relaxed structure of Ho3Tl3AgTe8.

Energy relative to the elements, uncorrected, eV/f.u.: -11.252

Unit cell a=15.3646 b=8.5516 c=9.5788 alpha=90.00 beta=122.31 gamma=90.00
With the nearest neighbours (Å) after each atom.
Space group C2/m (No. 12)
Inequivalent atoms, fractional coordinates:
Ho 0.0000 0.0000 0.0000  6 Te 3.06-3.09
Ho 0.2500 0.2500 0.0000  6 Te 3.05-3.09
Tl 0.0000 0.5000 0.5000  6 Te 3.42-3.45
Tl 0.2500 0.2500 0.5000  6 Te 3.37-3.50
Ag 0.0000 0.5000 0.0000  4 Te 2.79
Te 0.0128 0.2716 0.8037  1 Ag 2.79, 2 Ho 3.06-3.09
Te 0.2036 0.0000 0.7427  2 Ho 3.05
Te 0.2377 0.0000 0.2182  3 Ho 3.07-3.09, 2 Tl 3.37



Entry 3:
The following is a DFT calculation (PBE) of a relaxed structure of Ba2InFe.

Energy of formation from the pure elements, meV/atom: 270.5

Unit cell a=11.6444 b=11.6444 c=5.1281 alpha=90.00 beta=90.00 gamma=90.00
With the nearest neighbours (Å) after each atom.
Space group I-42d (No. 122)
Inequivalent atoms, fractional coordinates:
Ba 0.0696 0.2500 0.1250  2 Fe 3.09
In 0.0000 0.0000 0.5000  2 Fe 2.56
Fe 0.0000 0.0000 0.0000  2 In 2.56



Entry 4:
The following is a DFT calculation (PBE) of a relaxed structure of DyPuIrRh.

Energy of formation from the pure elements, meV/atom: -627.7

Unit cell a=6.8569 b=6.8569 c=6.8569 alpha=90.00 beta=90.00 gamma=90.00
With the nearest neighbours (Å) after each atom.
Space group F-43m (No. 216)
Inequivalent atoms, fractional coordinates:
Dy 0.0000 0.0000 0.0000  4 Ir 2.97, 4 Rh 2.97
Pu 0.0000 0.0000 0.5000  4 Rh 2.97, 4 Ir 2.97
Ir 0.2500 0.2500 0.7500  4 Dy 2.97, 4 Pu 2.97
Rh 0.2500 0.2500 0.2500  4 Dy 2.97, 4 Pu 2.97



Entry 5:
The following is a DFT calculation (PBE) of a relaxed structure of SrPt5.

Energy of formation from the pure elements, meV/atom: -243.1
Energy relative to the lowest polymorph listed for this composition, eV/atom: 0.302

Unit cell a=5.2715 b=4.4680 c=5.3249 alpha=90.00 beta=92.27 gamma=90.00
With the nearest neighbours (Å) after each atom.
Space group P2/m (No. 10)
Inequivalent atoms, fractional coordinates:
Sr 0.0000 0.0000 0.0000  4 Pt 2.99-3.00
Pt 0.0000 0.5000 0.5000  6 Pt 2.63-2.75
Pt 0.2621 0.0000 0.5113  6 Pt 2.52-2.77
Pt 0.4664 0.5000 0.7516  5 Pt 2.66-2.77



Entry 6:
The following is a DFT calculation (PBE) of a relaxed structure of KCu2AsI6.

Energy relative to the elements, uncorrected, eV/f.u.: -3.945

Unit cell a=15.3506 b=14.1137 c=7.5435 alpha=90.00 beta=97.45 gamma=90.00
With the nearest neighbours (Å) after each atom.
Space group C2/c (No. 15)
Inequivalent atoms, fractional coordinates:
K 0.0000 0.0818 0.2500  6 I 3.43-3.60
Cu 0.0885 0.4264 0.2698  3 I 2.55-2.57, 1 Cu 2.69
As 0.0000 0.2641 0.7500  6 I 2.79-3.08
I 0.1128 0.2764 0.0940  1 Cu 2.55
I 0.1173 0.4178 0.6125  2 Cu 2.56-2.57
I 0.1189 0.1286 0.6577  1 As 2.79



Entry 7:
The following is a DFT calculation (PBE) of a relaxed structure of Pm3YPu2S6.

Energy relative to the elements, uncorrected, eV/f.u.: -23.502

Unit cell a=6.8920 b=11.9392 c=6.9307 alpha=90.00 beta=109.32 gamma=90.00
With the nearest neighbours (Å) after each atom.
Space group C2/m (No. 12)
Inequivalent atoms, fractional coordinates:
Pm 0.0000 0.0000 0.0000  6 S 2.85
Pm 0.0000 0.3330 0.0000  6 S 2.85-2.86
Y 0.0000 0.5000 0.5000  6 S 2.78-2.79
Pu 0.0000 0.1665 0.5000  6 S 2.79
S 0.2467 0.3337 0.7413  1 Y 2.78, 2 Pu 2.79, 3 Pm 2.85-2.86
S 0.2483 0.0000 0.7427  1 Y 2.79, 2 Pu 2.79, 3 Pm 2.85



Entry 8:
The following is a DFT calculation (PBE) of a relaxed structure of Pm6HPt2.

Raw total energy, eV per atom: -5.526

Unit cell a=6.6183 b=7.1787 c=11.9503 alpha=90.00 beta=123.00 gamma=90.00
With the nearest neighbours (Å) after each atom.
Space group P2_1/c (No. 14)
Inequivalent atoms, fractional coordinates:
Pm 0.1083 0.0271 0.2520  1 H 2.68, 2 Pt 2.91-2.99
Pm 0.2318 0.6758 0.0615  1 H 2.59
Pm 0.3874 0.1780 0.0618  1 H 2.65, 2 Pt 2.91-2.95
H 0.5000 0.0000 0.5000  6 Pm 2.59-2.68
Pt 0.3206 0.1176 0.7540  6 Pm 2.91-2.99



Entry 9:
The following is a DFT calculation (PBE) of a relaxed structure of Ba6Na2RhO.

Energy relative to the elements, uncorrected, eV/f.u.: -5.069

Unit cell a=11.7258 b=11.7358 c=13.0974 alpha=90.00 beta=90.00 gamma=90.00
With the nearest neighbours (Å) after each atom.
Space group Fmm2 (No. 42)
Inequivalent atoms, fractional coordinates:
Ba 0.0000 0.0000 0.0000  1 O 2.58
Ba 0.0000 0.0000 0.4758  1 Rh 2.88
Ba 0.0000 0.2345 0.7512  1 O 2.83, 1 Rh 3.12
Ba 0.2342 0.0000 0.7511  1 O 2.83, 1 Rh 3.12
Na 0.2500 0.2500 0.0051  12 Ba 4.15-4.44
Rh 0.0000 0.0000 0.2558  5 Ba 2.88-3.12
O 0.0000 0.0000 0.8028  5 Ba 2.58-2.83



Entry 10:
The following is a DFT calculation (PBE) of a relaxed structure of KBe2Cd.

Energy of formation from the pure elements, meV/atom: 750.5

Unit cell a=3.4152 b=3.4152 c=7.4791 alpha=90.00 beta=90.00 gamma=90.00
With the nearest neighbours (Å) after each atom.
Space group P4/mmm (No. 123)
Inequivalent atoms, fractional coordinates:
K 0.0000 0.0000 0.0000  4 K 3.42, 8 Be 3.57, 2 Cd 3.74
Be 0.5000 0.5000 0.3519  1 Be 2.21
Cd 0.0000 0.0000 0.5000  8 Be 2.66



Entry 11:
The following is a DFT calculation (PBE) of a relaxed structure of DyY2P3Rh12.

Energy of formation from the pure elements, meV/atom: -401.4

Unit cell a=8.9635 b=8.9635 c=12.8032 alpha=90.00 beta=90.00 gamma=120.00
With the nearest neighbours (Å) after each atom.
Space group R-3m (No. 166, hexagonal axes)
Inequivalent atoms, fractional coordinates:
Dy 0.0000 0.0000 0.0000  6 Rh 2.67
Y 0.0000 0.0000 0.3715  3 Rh 2.54
P 0.0000 0.5000 0.5000  2 Rh 2.23
Rh 0.0107 0.5054 0.3260  1 P 2.23
Rh 0.0254 0.5127 0.8823  2 P 2.57, 1 Rh 2.68



Entry 12:
The following is a DFT calculation (PBE) of a relaxed structure of PrEr2Sb.

Energy relative to the lowest polymorph listed for this composition, eV/atom: 0.080
Energy relative to the elements, uncorrected, eV/f.u.: -1.908

Unit cell a=4.8557 b=4.8557 c=4.7655 alpha=90.00 beta=90.00 gamma=90.00
With the nearest neighbours (Å) after each atom.
Space group P4/mmm (No. 123)
Inequivalent atoms, fractional coordinates:
Pr 0.0000 0.0000 0.0000  8 Er 3.40, 4 Sb 3.43
Er 0.0000 0.5000 0.5000  4 Sb 3.40, 4 Pr 3.40, 4 Er 3.43
Sb 0.5000 0.5000 0.0000  8 Er 3.40, 4 Pr 3.43